Entry 1:
DFT (PBE+U) results for a relaxed structure of LaCoAsO.

The calculation puts the total magnetic moment at 0.069 μB/atom. The electronic total energy comes out at -6.217 eV per atom.

The structure belongs to space group Pmc2_1 (No. 26); the cell edges are 4.268, 4.222 and 7.285 Å and the angles 90.00°, 90.00° and 90.00°. The inequivalent atoms are La at (0.000, 0.250, 0.000), Co at (0.500, 0.248, 0.331), As at (0.500, 0.251, 0.666) and O at (0.000, 0.250, 0.334).

***

Entry 2:
DFT (PBE+U) results for a relaxed structure of La2ZnCoAs2O2.

The calculation puts the total magnetic moment at 0.341 μB/atom. The electronic total energy comes out at -6.194 eV per atom.

The structure belongs to space group P-4m2 (No. 115); the cell edges are 4.099, 4.099 and 8.903 Å and the angles 90.00°, 90.00° and 90.00°. The inequivalent atoms are La at (0.000, 0.500, 0.135), Zn at (0.500, 0.500, 0.500), Co at (0.000, 0.000, 0.500), As at (0.000, 0.500, 0.668), O at (0.000, 0.000, 0.000) and O at (0.500, 0.500, 0.000).